VASP calculation (PBE-GGA) on a geometry-optimized RePIrPt structure.

extended XYZ file:
```
4
Lattice="-0.855 -2.877 2.626 -0.550 -2.467 -2.881 4.674 0.030 -0.918" Properties=species:S:1:pos:R:3 pbc="T T T"
Re 0.549 -1.836 1.467
Pt 0.964 -1.738 -1.245
P 1.711 -3.484 0.108
Ir 3.192 -2.736 1.734
```

SG: Pm, No. 6
Total magnetic moment in μB per atom: 0.000
Energy relative to the lowest polymorph listed for this composition in eV/atom: 0.233
Energy of formation from the pure elements in eV per atom: 0.043